DFT (PBE) results for a relaxed structure of TlBiPCl2.

Values from the calculation:
D(E_F) in states/eV/atom: 0.6577
Excess energy over the best structure of this formula in the dataset in eV/atom: 0.0000
E_tot in eV/atom: -3.2624
ΔE_f (raw) in meV/atom: -192

a b c (Å): 5.5444 5.5444 5.4067
angles (deg): 90.00 90.00 90.00
Atoms (fractional coordinates):
1 Tl 0.0000 0.0000 0.0000
2 Bi 0.5000 0.5000 0.5000
3 P 0.5000 0.5000 0.0000
4 Cl 0.0000 0.5000 0.5000
5 Cl 0.5000 0.0000 0.5000